Record 1
A plane-wave DFT calculation with PBE was carried out for a relaxed structure of KBeCl2.

Results
Total energy   -2.876 eV per atom
ΔE_f (raw)   -0.747 eV per atom
ΔE to the lowest computed polymorph   0.237 eV/atom

Cell: 3.4875 3.8144 6.8233 Å, 90.00 90.00 90.00°
Space group Pmmm (No. 47)
Unique sites:
K (0.0000, 0.0000, 0.0000)
Be (0.0000, 0.5000, 0.5000)
Cl (0.5000, 0.5000, 0.2714)

---

Record 2
A plane-wave DFT calculation with PBE was carried out for a relaxed structure of TbPmNiIr.

Results
Total energy   -6.596 eV per atom
ΔE to the lowest computed polymorph   0.000 eV/atom
E_form   -0.590 eV per atom

Cell: 4.1129 3.9351 10.7693 Å, 90.00 90.00 90.00°
Space group Amm2 (No. 38)
Unique sites:
Tb (0.0000, 0.0000, 0.0000)
Pm (0.5000, 0.0000, 0.7163)
Ni (0.0000, 0.0000, 0.2869)
Ir (0.5000, 0.0000, 0.4366)

---

Record 3
A plane-wave DFT calculation with PBE was carried out for a relaxed structure of KRuRh2.

Results
Total energy   -5.300 eV per atom
ΔE to the lowest computed polymorph   0.535 eV/atom
E_form   0.969 eV per atom

Cell: 5.1429 2.6708 5.3091 Å, 90.00 113.80 90.00°
Space group P2/m (No. 10)
Unique sites:
K (0.0000, 0.0000, 0.0000)
Ru (0.0000, 0.5000, 0.5000)
Rh (0.5000, 0.0000, 0.5000)
Rh (0.5000, 0.5000, 0.0000)

---

Record 4
A plane-wave DFT calculation with PBE was carried out for a relaxed structure of RuRhO4.

Results
Total energy   -6.974 eV per atom
ΔE_f (raw)   -0.897 eV per atom

Cell: 5.5303 4.5432 5.5412 Å, 90.00 111.03 90.00°
Space group P2_1/c (No. 14)
Unique sites:
Ru (0.0000, 0.0000, 0.0000)
Rh (0.5000, 0.0000, 0.5000)
O (0.1505, 0.1991, 0.3443)
O (0.3411, 0.6907, 0.6509)

---

Record 5
A plane-wave DFT calculation with PBE was carried out for a relaxed structure of CaY2Tc.

Results
Total energy   -5.927 eV per atom
ΔE to the lowest computed polymorph   0.384 eV/atom
E_form   0.397 eV per atom

Cell: 4.7083 4.7083 9.1687 Å, 90.00 90.00 90.00°
Space group I-4m2 (No. 119)
Unique sites:
Ca (0.0000, 0.0000, 0.0000)
Y (0.0000, 0.0000, 0.5000)
Y (0.0000, 0.5000, 0.2500)
Tc (0.0000, 0.5000, 0.7500)

---

Record 6
A plane-wave DFT calculation with PBE was carried out for a relaxed structure of GaC.

Results
Total energy   -4.984 eV per atom
ΔE to the lowest computed polymorph   0.902 eV/atom
E_form   1.141 eV per atom

Cell: 8.5621 8.5621 3.3531 Å, 90.00 90.00 90.00°
Space group I4/m (No. 87)
Unique sites:
Ga (0.1123, 0.2849, 0.0000)
C (0.1169, 0.7119, 0.0000)